# 1
A plane-wave DFT calculation with PBE was carried out for a relaxed structure of YMg2Pb.

Cell lengths 3.576, 3.576, 8.368 Å; angles 90.00, 90.00, 90.00 degrees
Fractional positions:
Y (0.000, 0.000, 0.000)
Mg (0.500, 0.500, 0.263)
Mg (0.500, 0.500, 0.737)
Pb (0.000, 0.000, 0.500)

N(E_F) = 2.3 states/eV/f.u.
energy of formation = -0.11 eV/atom


# 2
A plane-wave DFT calculation with PBE was carried out for a relaxed structure of CsK6O.

Cell lengths 4.293, 15.503, 15.503 Å; angles 29.65, 90.00, 90.00 degrees
Fractional positions:
Cs (0.000, 0.000, 0.000)
K (0.000, 0.046, 0.491)
K (0.000, 0.491, 0.046)
K (0.500, 0.146, 0.146)
K (0.500, 0.171, 0.559)
K (0.500, 0.559, 0.171)
K (0.500, 0.597, 0.597)
O (0.000, 0.333, 0.333)

energy relative to the elements, uncorrected = -0.295 eV per atom
N(E_F) = 5.3 states/eV/f.u.


# 3
A plane-wave DFT calculation with PBE was carried out for a relaxed structure of Ca3Tl2Ag4.

Cell lengths 6.120, 6.120, 9.228 Å; angles 114.17, 114.17, 47.48 degrees
Fractional positions:
Ca (0.000, 0.000, 0.000)
Ca (0.347, 0.347, 0.316)
Ca (0.653, 0.653, 0.684)
Tl (0.363, 0.363, 0.697)
Tl (0.637, 0.637, 0.303)
Ag (0.069, 0.069, 0.405)
Ag (0.269, 0.269, 0.940)
Ag (0.731, 0.731, 0.060)
Ag (0.931, 0.931, 0.595)

N(E_F) = 6.5 states/eV/f.u.
energy of formation = -0.27 eV/atom


# 4
A plane-wave DFT calculation with PBE was carried out for a relaxed structure of Cs2USe2Br4.

Cell lengths 7.833, 7.833, 6.619 Å; angles 91.71, 91.71, 60.64 degrees
Fractional positions:
Cs (0.170, 0.170, 0.253)
Cs (0.830, 0.830, 0.747)
U (0.500, 0.500, 0.000)
Se (0.346, 0.346, 0.771)
Se (0.654, 0.654, 0.229)
Br (0.167, 0.667, 0.233)
Br (0.333, 0.833, 0.767)
Br (0.667, 0.167, 0.233)
Br (0.833, 0.333, 0.767)

energy relative to the elements, uncorrected = -1.338 eV per atom


# 5
A plane-wave DFT calculation with PBE was carried out for a relaxed structure of Sc2CS.

Cell lengths 3.804, 3.804, 6.418 Å; angles 90.00, 90.00, 120.00 degrees
Fractional positions:
Sc (0.000, 0.000, 0.000)
Sc (0.333, 0.667, 0.408)
C (0.333, 0.667, 0.087)
S (0.000, 0.000, 0.587)

energy relative to the elements, uncorrected = -0.871 eV per atom


# 6
A plane-wave DFT calculation with PBE was carried out for a relaxed structure of AcSmSn.

Cell lengths 7.714, 7.712, 3.801 Å; angles 75.76, 75.71, 28.53 degrees
Fractional positions:
Ac (0.000, 0.000, 0.000)
Sm (0.709, 0.709, 0.291)
Sn (0.343, 0.343, 0.657)

polymorph energy (0 for the lowest one) = 208 meV per atom
N(E_F) = 3.7 states/eV/f.u.
energy of formation = -0.36 eV/atom